# 1
Below is a relaxed Ca3HgSe crystal, with properties calculated at the PBE level.

```
data_Ca3HgSe
_cell_length_a 5.542
_cell_length_b 5.542
_cell_length_c 5.542
_cell_angle_alpha 90.00
_cell_angle_beta 90.00
_cell_angle_gamma 90.00
_symmetry_space_group_name_H-M 'P m -3 m'
_symmetry_Int_Tables_number 221
_symmetry_space_group_name_Hall '-P 4 2 3'
loop_
_atom_site_label
_atom_site_type_symbol
_atom_site_fract_x
_atom_site_fract_y
_atom_site_fract_z
_atom_site_occupancy
Ca1 Ca 0.000 0.000 0.500 1
Hg1 Hg 0.500 0.500 0.500 1
Se1 Se 0.000 0.000 0.000 1
```

Calculated values
Offset from the most stable computed form   0 meV per atom
E_form (uncorrected)   -0.733 eV/atom

# 2
Below is a relaxed AgHgI crystal, with properties calculated at the PBE level.

```
data_AgHgI
_cell_length_a 5.927
_cell_length_b 9.192
_cell_length_c 9.236
_cell_angle_alpha 90.00
_cell_angle_beta 121.73
_cell_angle_gamma 90.00
_symmetry_space_group_name_H-M 'P 1 21/c 1'
_symmetry_Int_Tables_number 14
loop_
_symmetry_equiv_pos_as_xyz
'x,y,z'
'-x,-y,-z'
'-x,y+1/2,-z+1/2'
'x,-y+1/2,z+1/2'
loop_
_atom_site_label
_atom_site_type_symbol
_atom_site_fract_x
_atom_site_fract_y
_atom_site_fract_z
_atom_site_occupancy
Ag1 Ag 0.151 0.114 0.224 1
Hg1 Hg 0.294 0.546 0.083 1
I1 I 0.154 0.144 0.908 1
```

Calculated values
Offset from the most stable computed form   28 meV per atom
E_form (uncorrected)   -0.114 eV/atom

# 3
Below is a relaxed Sr3Ag9Sn2 crystal, with properties calculated at the PBE level.

```
data_Sr3Ag9Sn2
_cell_length_a 4.789
_cell_length_b 9.885
_cell_length_c 14.343
_cell_angle_alpha 90.00
_cell_angle_beta 90.00
_cell_angle_gamma 90.00
_symmetry_space_group_name_H-M 'I m m m'
_symmetry_Int_Tables_number 71
_symmetry_space_group_name_Hall '-I 2 2'
loop_
_atom_site_label
_atom_site_type_symbol
_atom_site_fract_x
_atom_site_fract_y
_atom_site_fract_z
_atom_site_occupancy
Sr1 Sr 0.000 0.000 0.000 1
Sr2 Sr 0.000 0.000 0.291 1
Ag1 Ag 0.000 0.288 0.137 1
Ag2 Ag 0.000 0.358 0.337 1
Ag3 Ag 0.000 0.500 0.000 1
Sn1 Sn 0.000 0.183 0.500 1
```

Calculated values
Formation enthalpy at 0 K   -0.2330 eV per atom

# 4
Below is a relaxed Hf4TiTe crystal, with properties calculated at the PBE level.

```
data_Hf4TiTe
_cell_length_a 5.736
_cell_length_b 5.553
_cell_length_c 8.847
_cell_angle_alpha 90.00
_cell_angle_beta 108.86
_cell_angle_gamma 90.00
_symmetry_space_group_name_H-M 'P 1 2/m 1'
_symmetry_Int_Tables_number 10
loop_
_symmetry_equiv_pos_as_xyz
'x,y,z'
'-x,-y,-z'
'-x,y,-z'
'x,-y,z'
loop_
_atom_site_label
_atom_site_type_symbol
_atom_site_fract_x
_atom_site_fract_y
_atom_site_fract_z
_atom_site_occupancy
Hf1 Hf 0.016 0.000 0.207 1
Hf2 Hf 0.289 0.500 0.350 1
Hf3 Hf 0.308 0.500 0.792 1
Hf4 Hf 0.438 0.000 0.650 1
Ti1 Ti 0.000 0.250 0.500 1
Te1 Te 0.000 0.500 0.000 1
Te2 Te 0.500 0.000 0.000 1
```

Calculated values
E_form (uncorrected)   -0.057 eV/atom

# 5
Below is a relaxed CrInCoS3 crystal, with properties calculated at the PBE level.

```
data_CrInCoS3
_cell_length_a 7.622
_cell_length_b 3.483
_cell_length_c 9.308
_cell_angle_alpha 90.00
_cell_angle_beta 111.03
_cell_angle_gamma 90.00
_symmetry_space_group_name_H-M 'P 1 21/m 1'
_symmetry_Int_Tables_number 11
loop_
_symmetry_equiv_pos_as_xyz
'x,y,z'
'-x,-y,-z'
'-x,y+1/2,-z'
'x,-y+1/2,z'
loop_
_atom_site_label
_atom_site_type_symbol
_atom_site_fract_x
_atom_site_fract_y
_atom_site_fract_z
_atom_site_occupancy
Cr1 Cr 0.037 0.250 0.335 1
In1 In 0.476 0.750 0.779 1
Co1 Co 0.025 0.750 0.106 1
S1 S 0.156 0.250 0.612 1
S2 S 0.161 0.750 0.927 1
S3 S 0.245 0.750 0.334 1
```

Calculated values
E_form (uncorrected)   -0.482 eV/atom

# 6
Below is a relaxed Ho6Zn5Au crystal, with properties calculated at the PBE level.

```
data_Ho6Zn5Au
_cell_length_a 5.029
_cell_length_b 15.092
_cell_length_c 7.120
_cell_angle_alpha 90.00
_cell_angle_beta 90.00
_cell_angle_gamma 90.00
_symmetry_space_group_name_H-M 'C m m m'
_symmetry_Int_Tables_number 65
_symmetry_space_group_name_Hall '-C 2 2'
loop_
_atom_site_label
_atom_site_type_symbol
_atom_site_fract_x
_atom_site_fract_y
_atom_site_fract_z
_atom_site_occupancy
Ho1 Ho 0.000 0.000 0.249 1
Ho2 Ho 0.000 0.333 0.248 1
Zn1 Zn 0.000 0.168 0.000 1
Zn2 Zn 0.000 0.172 0.500 1
Zn3 Zn 0.000 0.500 0.000 1
Au1 Au 0.000 0.500 0.500 1
```

Calculated values
Formation enthalpy at 0 K   -0.4335 eV per atom

# 7
Below is a relaxed Tl2CrCu crystal, with properties calculated at the PBE level.

```
data_Tl2CrCu
_cell_length_a 3.271
_cell_length_b 3.271
_cell_length_c 8.010
_cell_angle_alpha 90.00
_cell_angle_beta 90.00
_cell_angle_gamma 90.00
_symmetry_space_group_name_H-M 'P 4 m m'
_symmetry_Int_Tables_number 99
loop_
_symmetry_equiv_pos_as_xyz
'x,y,z'
'-y,x,z'
'-x,-y,z'
'y,-x,z'
'-x,y,z'
'y,x,z'
'x,-y,z'
'-y,-x,z'
loop_
_atom_site_label
_atom_site_type_symbol
_atom_site_fract_x
_atom_site_fract_y
_atom_site_fract_z
_atom_site_occupancy
Tl1 Tl 0.000 0.000 0.000 1
Tl2 Tl 0.500 0.500 0.352 1
Cr1 Cr 0.000 0.000 0.602 1
Cu1 Cu 0.500 0.500 0.759 1
```

Calculated values
Offset from the most stable computed form   0 meV per atom
Formation enthalpy at 0 K   0.4261 eV per atom